{
  "formula": "AgMo6S8",
  "functional": "SCAN",
  "state": "PBEsol geometry",
  "cell": [[-3.698, 4.503, -2.667], [-5.056, -2.889, 2.674], [0.996, 3.587, 5.216]],
  "species": ["Mo", "Mo", "Mo", "Mo", "Mo", "Mo", "S", "S", "S", "S", "S", "S", "S", "S", "Ag"],
  "fractional_positions": [[0.214, 0.552, 0.408], [0.552, 0.408, 0.214], [0.448, 0.592, 0.786], [0.786, 0.448, 0.592], [0.408, 0.214, 0.552], [0.592, 0.786, 0.448], [0.868, 0.620, 0.267], [0.380, 0.733, 0.132], [0.267, 0.868, 0.620], [0.620, 0.267, 0.868], [0.221, 0.221, 0.221], [0.132, 0.380, 0.733], [0.733, 0.132, 0.380], [0.779, 0.779, 0.779], [0.000, 0.000, 0.000]],
  "e_tot_ry_per_atom": -1.60838,
  "m_tot_mub_per_fu": 0.0,
  "raw_formation_energy_ev_per_atom": -0.70,
  "dos_ef_per_ev_atom": 0.51
}

---

{
  "formula": "BaCuAu",
  "functional": "SCAN",
  "state": "PBEsol geometry",
  "cell": [[-1.905, -3.182, 2.542], [-0.431, -0.139, -4.474], [3.655, -2.411, -0.278]],
  "species": ["Cu", "Au", "Ba"],
  "fractional_positions": [[0.667, 0.333, 0.167], [0.000, 0.000, 0.167], [0.333, 0.667, 0.667]],
  "e_tot_ry_per_atom": -3.07320,
  "m_tot_mub_per_fu": 0.0,
  "delta_e_f_ev_per_fu": -1.53,
  "dos_ef_per_ev_atom": 0.29
}

---

{
  "formula": "RbTi2Os",
  "functional": "SCAN",
  "state": "PBEsol geometry",
  "cell": [[-2.745, -3.702, -0.635], [1.057, -4.054, 2.023], [-2.602, -1.596, 3.511]],
  "species": ["Os", "Ti", "Ti", "Rb"],
  "fractional_positions": [[0.500, 0.500, 0.500], [0.750, 0.750, 0.750], [0.250, 0.250, 0.250], [0.000, 0.000, 0.000]],
  "e_tot_ry_per_atom": -2.21709,
  "m_tot_mub_per_fu": 0.0,
  "delta_e_f_ev_per_fu": 4.02,
  "dos_ef_per_ev_atom": 1.40
}

---

{
  "formula": "FeOsPt2",
  "functional": "SCAN",
  "state": "PBEsol geometry",
  "cell": [[-2.490, -0.518, -0.861], [0.558, -4.233, 0.932], [-1.671, 0.745, 4.385]],
  "species": ["Pt", "Pt", "Os", "Fe"],
  "fractional_positions": [[0.000, 0.500, 0.706], [0.000, 0.000, 0.046], [0.500, 0.500, 0.214], [0.500, 0.000, 0.533]],
  "e_tot_ry_per_atom": -4.24098,
  "m_tot_mub_per_fu": 3.8,
  "de_polymorph_mev_per_atom": 0,
  "delta_e_f_ev_per_fu": -0.41,
  "dos_ef_per_ev_atom": 0.79
}

---

{
  "formula": "TlInSN2",
  "functional": "SCAN",
  "state": "PBEsol geometry",
  "cell": [[4.294, 0.000, 0.000], [0.000, 4.294, 0.000], [0.000, 0.000, 5.277]],
  "species": ["In", "S", "Tl", "N", "N"],
  "fractional_positions": [[0.000, 0.000, 0.000], [0.000, 0.000, 0.500], [0.500, 0.500, 0.500], [0.000, 0.500, 0.000], [0.500, 0.000, 0.000]],
  "e_tot_ry_per_atom": -1.89348,
  "m_tot_mub_per_fu": 3.7,
  "raw_formation_energy_ev_per_atom": 1.03,
  "dos_ef_per_ev_atom": 0.23
}

---

{
  "formula": "MnCdSi2",
  "functional": "SCAN",
  "state": "PBEsol geometry",
  "cell": [[-1.261, 3.622, 0.064], [-1.236, -0.363, -3.802], [-3.584, -1.271, 1.286]],
  "species": ["Cd", "Si", "Si", "Mn"],
  "fractional_positions": [[0.500, 0.500, 0.500], [0.000, 0.500, 0.000], [0.000, 0.000, 0.500], [0.500, 0.000, 0.000]],
  "e_tot_ry_per_atom": -1.23908,
  "m_tot_mub_per_fu": 3.7,
  "raw_formation_energy_ev_per_atom": 0.32,
  "dos_ef_per_ev_atom": 0.37
}